Record 1
Compound: NpRhSe2
Source: Alexandria
Functional: PBE
Structure: relaxed

It has space group R-3m (No. 166, hexagonal axes), with a = 3.6182 Å, b = 3.6182 Å, c = 25.5259 Å, α = 90.00°, β = 90.00° and γ = 120.00°. Symmetry generates all atoms from Np at (0.0000, 0.0000, 0.0000), Rh at (0.0000, 0.0000, 0.5000) and Se at (0.0000, 0.0000, 0.1128).

The value obtained for the uncorrected energy is -6.891 eV/atom. As for the uncorrected formation energy: -75.4 meV per atom. The energy above the lowest structure with this stoichiometry comes out at 1.985 eV per formula unit.


Record 2
Compound: NpRhSe2
Source: Alexandria
Functional: PBE
Structure: relaxed

It has space group R3m (No. 160, hexagonal axes), with a = 3.9613 Å, b = 3.9613 Å, c = 18.4129 Å, α = 90.00°, β = 90.00° and γ = 120.00°. Symmetry generates all atoms from Np at (0.0000, 0.0000, 0.0000), Rh at (0.0000, 0.0000, 0.8191), Se at (0.0000, 0.0000, 0.2344) and Se at (0.0000, 0.0000, 0.4271).

The value obtained for the uncorrected energy is -7.386 eV/atom. As for the uncorrected formation energy: -570.8 meV per atom. The energy above the lowest structure with this stoichiometry comes out at 0.003 eV per formula unit.


Record 3
Compound: NpTl3Rh2Se6
Source: Alexandria
Functional: PBE
Structure: relaxed

It has space group C2/m (No. 12), with a = 6.387 Å, b = 11.114 Å, c = 8.749 Å, α = 90.00°, β = 105.69° and γ = 90.00°. Symmetry generates all atoms from Np at (0.000, 0.000, 0.000), Tl at (0.000, 0.163, 0.500), Tl at (0.000, 0.500, 0.500), Rh at (0.000, 0.333, 0.000), Se at (0.200, 0.500, 0.179) and Se at (0.249, 0.183, 0.181).

The value obtained for the uncorrected energy is -5.197 eV/atom. As for the uncorrected formation energy: -559.6 meV per atom.


Record 4
Compound: Np3Tl3RhSe8
Source: Alexandria
Functional: PBE
Structure: relaxed

It has space group C2/m (No. 12), with a = 13.908 Å, b = 8.026 Å, c = 9.267 Å, α = 90.00°, β = 119.99° and γ = 90.00°. Symmetry generates all atoms from Np at (0.000, 0.000, 0.000), Np at (0.250, 0.250, 0.000), Tl at (0.000, 0.500, 0.500), Tl at (0.250, 0.250, 0.500), Rh at (0.000, 0.500, 0.000), Se at (0.014, 0.269, 0.809), Se at (0.216, 0.500, 0.190) and Se at (0.236, 0.000, 0.209).

The value obtained for the uncorrected energy is -6.203 eV/atom. As for the uncorrected formation energy: -792.6 meV per atom.


Record 5
Compound: NpTl3Rh3Se8
Source: Alexandria
Functional: PBE
Structure: relaxed

It has space group C2/m (No. 12), with a = 12.957 Å, b = 7.481 Å, c = 8.916 Å, α = 90.00°, β = 119.08° and γ = 90.00°. Symmetry generates all atoms from Np at (0.000, 0.000, 0.000), Tl at (0.000, 0.000, 0.500), Tl at (0.250, 0.250, 0.500), Rh at (0.000, 0.500, 0.000), Rh at (0.250, 0.250, 0.000), Se at (0.026, 0.271, 0.808), Se at (0.222, 0.500, 0.167) and Se at (0.245, 0.000, 0.192).

The value obtained for the uncorrected energy is -5.195 eV/atom. As for the uncorrected formation energy: -529.9 meV per atom.


Record 6
Compound: Np2Si5Rh3
Source: Alexandria
Functional: PBE
Structure: relaxed

It has space group Ibam (No. 72), with a = 9.923 Å, b = 11.646 Å, c = 5.728 Å, α = 90.00°, β = 90.00° and γ = 90.00°. Symmetry generates all atoms from Np at (0.231, 0.133, 0.000), Si at (0.000, 0.000, 0.250), Si at (0.000, 0.281, 0.250), Si at (0.158, 0.396, 0.000), Rh at (0.000, 0.500, 0.250) and Rh at (0.108, 0.141, 0.500).

The value obtained for the uncorrected energy is -8.163 eV/atom. As for the uncorrected formation energy: -658.0 meV per atom.


Number 1: total magnetic moment 15.21 μB per cell. Number 2: total magnetic moment 13.36 μB per cell. Number 3: total magnetic moment 5.61 μB per cell. Number 4: total magnetic moment 22.02 μB per cell. Number 5: total magnetic moment 5.02 μB per cell. Number 6: total magnetic moment 29.32 μB per cell.